Material: ReNiP2
Method: DFT, GGA-PBEsol
State: optimized geometry

Cell: 4.698 4.698 2.947 Å, 107.48 107.48 109.68°
Element x y z (fractional)
Re 0.000 0.000 0.000
Ni 0.500 0.500 0.000
P 0.000 0.500 0.000
P 0.500 0.000 0.000

Results
Energy of formation, eV/atom: 0.215
Symmetry: C2/m, No. 12
Calculated density, Mg/m³: 9.75
E, eV/cell: -30.21
Total magnetization, μB/f.u.: 0.00